1.
# Rb3Na2ZnF9

Crystalline Rb3Na2ZnF9 at its relaxed geometry (PBE, the Alexandria database).

- SG = P-3m1, No. 164
- formation energy from raw total energies (eV/atom) = -2.3330
- electronic total energy (eV per atom) = -3.910
- theoretical density (g cm⁻³) = 3.62

The structure in CIF format:
```
data_Rb3Na2ZnF9
_chemical_formula_sum 'Rb3 Na2 Zn1 F9'
_symmetry_space_group_name_H-M 'P 1'
_symmetry_Int_Tables_number 1
_symmetry_space_group_name_Hall 'P 1'
_cell_length_a 6.110
_cell_length_b 6.110
_cell_length_c 7.647
_cell_angle_alpha 90.00
_cell_angle_beta 90.00
_cell_angle_gamma 120.00
loop_
_atom_site_label
_atom_site_fract_x
_atom_site_fract_y
_atom_site_fract_z
Rb1 0.333 0.667 0.678
Rb2 0.000 0.000 0.000
Rb3 0.667 0.333 0.322
Na1 0.333 0.667 0.184
Na2 0.667 0.333 0.816
Zn1 0.000 0.000 0.500
F1 0.847 0.153 0.648
F2 0.847 0.695 0.648
F3 0.305 0.153 0.648
F4 0.695 0.847 0.352
F5 0.153 0.305 0.352
F6 0.153 0.847 0.352
F7 0.500 0.000 0.000
F8 0.000 0.500 0.000
F9 0.500 0.500 0.000
```

2.
# BaCd2W

Crystalline BaCd2W at its relaxed geometry (PBE, the Alexandria database).

- SG = I-4m2, No. 119
- electronic total energy (eV per atom) = -3.168
- theoretical density (g cm⁻³) = 8.37
- formation energy (kJ/mol of formula units) = 389

The structure in CIF format:
```
data_BaCd2W
_chemical_formula_sum 'Ba1 Cd2 W1'
_symmetry_space_group_name_H-M 'P 1'
_symmetry_Int_Tables_number 1
_symmetry_space_group_name_Hall 'P 1'
_cell_length_a 5.685
_cell_length_b 5.685
_cell_length_c 5.685
_cell_angle_alpha 128.89
_cell_angle_beta 128.89
_cell_angle_gamma 75.19
loop_
_atom_site_label
_atom_site_fract_x
_atom_site_fract_y
_atom_site_fract_z
Ba1 0.750 0.250 0.500
W1 0.500 0.500 0.000
Cd1 0.000 0.000 0.000
Cd2 0.250 0.750 0.500
```